# YBiW3 (meta-GGA SCAN, single point on PBEsol structure)
data_YBiW3
_cell_length_a 4.9925
_cell_length_b 4.9925
_cell_length_c 4.9925
_cell_angle_alpha 90.00
_cell_angle_beta 90.00
_cell_angle_gamma 90.00
_symmetry_space_group_name_H-M 'P 1'
_symmetry_Int_Tables_number 1
loop_
_symmetry_equiv_pos_as_xyz
'x,y,z'
loop_
_atom_site_label
_atom_site_fract_x
_atom_site_fract_y
_atom_site_fract_z
Y1 0.0000 0.0000 0.0000
Bi1 0.5000 0.5000 0.5000
W1 0.0000 0.5000 0.5000
W2 0.5000 0.0000 0.5000
W3 0.5000 0.5000 0.0000
# - Crystal system: cubic
# - Volume: 124 Å³ per cell
# - Space-group type: Pm-3m, No. 221
# - ΔH_f (0 K): 2.5384 eV per atom
# - Electronic total energy: -60.5589 eV/atom

***

# ZnBiW2 (meta-GGA SCAN, single point on PBEsol structure)
data_ZnBiW2
_cell_length_a 4.5843
_cell_length_b 4.5843
_cell_length_c 4.5843
_cell_angle_alpha 60.00
_cell_angle_beta 60.00
_cell_angle_gamma 60.00
_symmetry_space_group_name_H-M 'P 1'
_symmetry_Int_Tables_number 1
loop_
_symmetry_equiv_pos_as_xyz
'x,y,z'
loop_
_atom_site_label
_atom_site_fract_x
_atom_site_fract_y
_atom_site_fract_z
Zn1 0.0000 0.0000 0.0000
Bi1 0.5000 0.5000 0.5000
W1 0.2500 0.2500 0.2500
W2 0.7500 0.7500 0.7500
# - Crystal system: cubic
# - Volume: 68 Å³ per cell
# - Space-group type: Fm-3m, No. 225
# - ΔH_f (0 K): 1.2082 eV per atom
# - Electronic total energy: -56.6595 eV/atom

***

# Zn2BiW2 (meta-GGA SCAN, single point on PBEsol structure)
data_Zn2BiW2
_cell_length_a 6.9246
_cell_length_b 6.9246
_cell_length_c 6.9246
_cell_angle_alpha 148.49
_cell_angle_beta 148.49
_cell_angle_gamma 45.16
_symmetry_space_group_name_H-M 'P 1'
_symmetry_Int_Tables_number 1
loop_
_symmetry_equiv_pos_as_xyz
'x,y,z'
loop_
_atom_site_label
_atom_site_fract_x
_atom_site_fract_y
_atom_site_fract_z
Zn1 0.0996 0.0996 0.0000
Zn2 0.9004 0.9004 0.0000
Bi1 0.5000 0.5000 0.0000
W1 0.2500 0.7500 0.5000
W2 0.7500 0.2500 0.5000
# - Crystal system: tetragonal
# - Volume: 90 Å³ per cell
# - Space-group type: I4/mmm, No. 139
# - ΔH_f (0 K): 0.7269 eV per atom
# - Electronic total energy: -48.2703 eV/atom

***

# ZnBi3W (meta-GGA SCAN, single point on PBEsol structure)
data_ZnBi3W
_cell_length_a 5.1890
_cell_length_b 5.1890
_cell_length_c 5.1890
_cell_angle_alpha 90.00
_cell_angle_beta 90.00
_cell_angle_gamma 90.00
_symmetry_space_group_name_H-M 'P 1'
_symmetry_Int_Tables_number 1
loop_
_symmetry_equiv_pos_as_xyz
'x,y,z'
loop_
_atom_site_label
_atom_site_fract_x
_atom_site_fract_y
_atom_site_fract_z
Zn1 0.0000 0.0000 0.0000
Bi1 0.0000 0.0000 0.5000
Bi2 0.0000 0.5000 0.0000
Bi3 0.5000 0.0000 0.0000
W1 0.5000 0.5000 0.5000
# - Crystal system: cubic
# - Volume: 140 Å³ per cell
# - Space-group type: Pm-3m, No. 221
# - ΔH_f (0 K): 1.5676 eV per atom
# - Electronic total energy: -62.2208 eV/atom

***

# YBi3 (meta-GGA SCAN, single point on PBEsol structure)
data_YBi3
_cell_length_a 6.7307
_cell_length_b 6.7307
_cell_length_c 5.9345
_cell_angle_alpha 90.00
_cell_angle_beta 90.00
_cell_angle_gamma 120.00
_symmetry_space_group_name_H-M 'P 1'
_symmetry_Int_Tables_number 1
loop_
_symmetry_equiv_pos_as_xyz
'x,y,z'
loop_
_atom_site_label
_atom_site_fract_x
_atom_site_fract_y
_atom_site_fract_z
Y1 0.3333 0.6667 0.2500
Y2 0.6667 0.3333 0.7500
Bi1 0.1721 0.3442 0.7500
Bi2 0.1721 0.8279 0.7500
Bi3 0.3442 0.1721 0.2500
Bi4 0.6558 0.8279 0.7500
Bi5 0.8279 0.1721 0.2500
Bi6 0.8279 0.6558 0.2500
# - Crystal system: hexagonal
# - Volume: 233 Å³ per cell
# - Space-group type: P6_3/mmc, No. 194
# - ΔH_f (0 K): -0.3908 eV per atom
# - Electronic total energy: -66.2862 eV/atom

***

# YBi3 (meta-GGA SCAN, single point on PBEsol structure)
data_YBi3
_cell_length_a 6.3706
_cell_length_b 6.3706
_cell_length_c 6.3706
_cell_angle_alpha 137.66
_cell_angle_beta 137.66
_cell_angle_gamma 61.42
_symmetry_space_group_name_H-M 'P 1'
_symmetry_Int_Tables_number 1
loop_
_symmetry_equiv_pos_as_xyz
'x,y,z'
loop_
_atom_site_label
_atom_site_fract_x
_atom_site_fract_y
_atom_site_fract_z
Y1 0.0000 0.0000 0.0000
Bi1 0.2500 0.7500 0.5000
Bi2 0.5000 0.5000 0.0000
Bi3 0.7500 0.2500 0.5000
# - Crystal system: tetragonal
# - Volume: 116 Å³ per cell
# - Space-group type: I4/mmm, No. 139
# - ΔH_f (0 K): -0.4033 eV per atom
# - Electronic total energy: -66.2987 eV/atom

***

# Zr3Bi5 (meta-GGA SCAN, single point on PBEsol structure)
data_Zr3Bi5
_cell_length_a 6.9482
_cell_length_b 6.9482
_cell_length_c 16.9472
_cell_angle_alpha 90.00
_cell_angle_beta 90.00
_cell_angle_gamma 90.00
_symmetry_space_group_name_H-M 'P 1'
_symmetry_Int_Tables_number 1
loop_
_symmetry_equiv_pos_as_xyz
'x,y,z'
loop_
_atom_site_label
_atom_site_fract_x
_atom_site_fract_y
_atom_site_fract_z
Zr1 0.0000 0.0000 0.0000
Zr2 0.0000 0.0000 0.3256
Zr3 0.0000 0.0000 0.6744
Zr4 0.0000 0.5000 0.2500
Zr5 0.0000 0.5000 0.5877
Zr6 0.0000 0.5000 0.9123
Zr7 0.5000 0.0000 0.0877
Zr8 0.5000 0.0000 0.4123
Zr9 0.5000 0.0000 0.7500
Zr10 0.5000 0.5000 0.1744
Zr11 0.5000 0.5000 0.5000
Zr12 0.5000 0.5000 0.8256
Bi1 0.1544 0.2683 0.4483
Bi2 0.1565 0.8057 0.1515
Bi3 0.1684 0.6684 0.7500
Bi4 0.1943 0.1565 0.8485
Bi5 0.2317 0.3456 0.0517
Bi6 0.2683 0.8456 0.5517
Bi7 0.3057 0.6565 0.3485
Bi8 0.3316 0.1684 0.2500
Bi9 0.3435 0.3057 0.6515
Bi10 0.3456 0.7683 0.9483
Bi11 0.6544 0.2317 0.9483
Bi12 0.6565 0.6943 0.6515
Bi13 0.6684 0.8316 0.2500
Bi14 0.6943 0.3435 0.3485
Bi15 0.7317 0.1544 0.5517
Bi16 0.7683 0.6544 0.0517
Bi17 0.8057 0.8435 0.8485
Bi18 0.8316 0.3316 0.7500
Bi19 0.8435 0.1943 0.1515
Bi20 0.8456 0.7317 0.4483
# - Crystal system: tetragonal
# - Volume: 818 Å³ per cell
# - Space-group type: P-4n2, No. 118
# - ΔH_f (0 K): -0.3744 eV per atom
# - Electronic total energy: -60.9987 eV/atom

***

# Br (meta-GGA SCAN, single point on PBEsol structure)
data_Br
_cell_length_a 4.0965
_cell_length_b 4.0965
_cell_length_c 8.5461
_cell_angle_alpha 90.00
_cell_angle_beta 90.00
_cell_angle_gamma 58.41
_symmetry_space_group_name_H-M 'P 1'
_symmetry_Int_Tables_number 1
loop_
_symmetry_equiv_pos_as_xyz
'x,y,z'
loop_
_atom_site_label
_atom_site_fract_x
_atom_site_fract_y
_atom_site_fract_z
Br1 0.1549 0.8451 0.8797
Br2 0.3451 0.6549 0.3797
Br3 0.6549 0.3451 0.6203
Br4 0.8451 0.1549 0.1203
# - Crystal system: orthorhombic
# - Volume: 122 Å³ per cell
# - Space-group type: Cmce, No. 64
# - Formation energy without anion corrections: 0.05 eV per atom
# - Excess energy over the best structure of this formula in the dataset: 52 meV per atom
# - Electronic total energy: -19.4079 eV/atom